# Ir2PtRh

An optimized crystal structure of Ir2PtRh (PBE, Alexandria via LeMat-Bulk).

abc: 6.9364 6.9364 5.6045
angles: 51.77 51.77 90.00
Sites, in units of the cell vectors:
Pt: 0.7500 0.2500 0.5000
Pt: 0.0000 0.0000 0.0000
Ir: 0.8750 0.8677 0.7500
Ir: 0.6177 0.1250 0.2500
Ir: 0.1323 0.6250 0.2500
Ir: 0.3750 0.3823 0.7500
Rh: 0.5000 0.5000 0.0000
Rh: 0.2500 0.7500 0.5000

* energy relative to the lowest polymorph listed for this composition: 2.394 eV per formula unit
* size of the total moment: 0.00 μB/f.u.
* energy of formation from the pure elements: 0.59 eV per atom
* space-group type: I-42d